Entry 1:
Below is crystalline RbZn3As at its relaxed geometry, with properties calculated at the PBEsol level.

```
data_RbZn3As
_space_group_name_H-M_alt 'P m -3 m'
_space_group_IT_number 221
_space_group_name_Hall '-P 4 2 3'
_cell_length_a 5.089
_cell_length_b 5.089
_cell_length_c 5.089
_cell_angle_alpha 90.00
_cell_angle_beta 90.00
_cell_angle_gamma 90.00
loop_
_atom_site_label
_atom_site_fract_x
_atom_site_fract_y
_atom_site_fract_z
Rb1 0.000 0.000 0.000
Zn1 0.000 0.500 0.500
As1 0.500 0.500 0.500
```

formation energy = 1.6 eV per formula unit
calculated total energy = -9.3 eV/f.u.
energy above the lowest structure with this stoichiometry = 0.000 eV/atom

=====

Entry 2:
Below is crystalline LiTiGe2 at its relaxed geometry, with properties calculated at the PBEsol level.

```
data_LiTiGe2
_space_group_name_H-M_alt 'F m -3 m'
_space_group_IT_number 225
_space_group_name_Hall '-F 4 2 3'
_cell_length_a 6.293
_cell_length_b 6.293
_cell_length_c 6.293
_cell_angle_alpha 90.00
_cell_angle_beta 90.00
_cell_angle_gamma 90.00
loop_
_atom_site_label
_atom_site_fract_x
_atom_site_fract_y
_atom_site_fract_z
Li1 0.000 0.000 0.000
Ti1 0.000 0.000 0.500
Ge1 0.250 0.250 0.250
```

formation energy = -0.8 eV per formula unit
calculated total energy = -21.0 eV/f.u.

=====

Entry 3:
Below is crystalline Sr2TaAg at its relaxed geometry, with properties calculated at the PBEsol level.

```
data_Sr2TaAg
_space_group_name_H-M_alt 'A m m 2'
_space_group_IT_number 38
_cell_length_a 4.945
_cell_length_b 3.537
_cell_length_c 12.840
_cell_angle_alpha 90.00
_cell_angle_beta 90.00
_cell_angle_gamma 90.00
loop_
_space_group_symop_operation_xyz
'x,y,z'
'-x,-y,z'
'-x,y,z'
'x,-y,z'
'x,y+1/2,z+1/2'
'-x,-y+1/2,z+1/2'
'-x,y+1/2,z+1/2'
'x,-y+1/2,z+1/2'
loop_
_atom_site_label
_atom_site_fract_x
_atom_site_fract_y
_atom_site_fract_z
Sr1 0.000 0.000 0.000
Sr2 0.500 0.000 0.316
Ta1 0.000 0.000 0.711
Ag1 0.500 0.000 0.611
```

formation energy = 2.8 eV per formula unit
calculated total energy = -16.7 eV/f.u.